[1]
The following is a GGA-PBE calculation of crystalline TlAg2 at its relaxed geometry, from Alexandria.

Its formation energy is 0.125 eV per atom. As for the density of states at the Fermi level: 1.75 states/eV per cell. For the density, the calculation gives 11.0 g cm⁻³. The energy above the most stable polymorph in this dataset is 3.6 kJ/mol of atoms. The calculation puts the calculated volume at 127 Å³/cell.

It has space group Pnnm (No. 58), with a = 3.1107 Å, b = 9.2663 Å, c = 4.3939 Å, α = 90.00°, β = 90.00° and γ = 90.00°. The asymmetric unit holds Tl at (0.0000, 0.0000, 0.0000) and Ag at (0.0029, 0.3249, 0.0000).

[2]
The following is a GGA-PBE calculation of crystalline Tl3Ag at its relaxed geometry, from Alexandria.

Its formation energy is 0.117 eV per atom. As for the density of states at the Fermi level: 2.17 states/eV per cell. For the density, the calculation gives 11.0 g cm⁻³. The energy above the most stable polymorph in this dataset is 4.4 kJ/mol of atoms. The calculation puts the calculated volume at 109 Å³/cell.

It has space group Pm-3m (No. 221), with a = 4.7786 Å, b = 4.7786 Å, c = 4.7786 Å, α = 90.00°, β = 90.00° and γ = 90.00°. The asymmetric unit holds Tl at (0.0000, 0.0000, 0.5000) and Ag at (0.5000, 0.5000, 0.5000).

[3]
The following is a GGA-PBE calculation of crystalline Tl7Ag at its relaxed geometry, from Alexandria.

Its formation energy is 0.086 eV per atom. As for the density of states at the Fermi level: 22.04 states/eV per cell. For the density, the calculation gives 11.0 g cm⁻³. The calculation puts the calculated volume at 926 Å³/cell.

It has space group Fm-3m (No. 225), with a = 9.7472 Å, b = 9.7472 Å, c = 9.7472 Å, α = 90.00°, β = 90.00° and γ = 90.00°. The asymmetric unit holds Tl at (0.0000, 0.0000, 0.0000), Tl at (0.0000, 0.2500, 0.2500) and Ag at (0.0000, 0.0000, 0.5000).

[4]
The following is a GGA-PBE calculation of crystalline Tl5Ag3 at its relaxed geometry, from Alexandria.

Its formation energy is 0.107 eV per atom. As for the density of states at the Fermi level: 11.91 states/eV per cell. For the density, the calculation gives 10.8 g cm⁻³. The energy above the most stable polymorph in this dataset is 0.0 kJ/mol of atoms. The calculation puts the calculated volume at 827 Å³/cell.

It has space group C2/m (No. 12), with a = 6.1965 Å, b = 16.6536 Å, c = 8.2697 Å, α = 90.00°, β = 104.28° and γ = 90.00°. The asymmetric unit holds Tl at (0.1322, 0.1808, 0.1987), Tl at (0.1769, 0.3977, 0.3597), Tl at (0.2471, 0.5000, 0.9876), Ag at (0.0000, 0.2466, 0.5000), Ag at (0.0000, 0.3383, 0.0000) and Ag at (0.1009, 0.0000, 0.3389).

[5]
The following is a GGA-PBE calculation of crystalline TlAg5 at its relaxed geometry, from Alexandria.

Its formation energy is 0.119 eV per atom. As for the density of states at the Fermi level: 1.99 states/eV per cell. For the density, the calculation gives 9.5 g cm⁻³. The energy above the most stable polymorph in this dataset is 4.5 kJ/mol of atoms. The calculation puts the calculated volume at 130 Å³/cell.

It has space group P6/mmm (No. 191), with a = 5.6142 Å, b = 5.6142 Å, c = 4.7543 Å, α = 90.00°, β = 90.00° and γ = 120.00°. The asymmetric unit holds Tl at (0.0000, 0.0000, 0.0000), Ag at (0.0000, 0.5000, 0.5000) and Ag at (0.3333, 0.6667, 0.0000).

[6]
The following is a GGA-PBE calculation of crystalline TlAg2 at its relaxed geometry, from Alexandria.

Its formation energy is 0.160 eV per atom. As for the density of states at the Fermi level: 4.59 states/eV per cell. For the density, the calculation gives 9.9 g cm⁻³. The energy above the most stable polymorph in this dataset is 6.9 kJ/mol of atoms. The calculation puts the calculated volume at 283 Å³/cell.

It has space group I4/mcm (No. 140), with a = 5.5543 Å, b = 5.5543 Å, c = 9.1680 Å, α = 90.00°, β = 90.00° and γ = 90.00°. The asymmetric unit holds Tl at (0.0000, 0.0000, 0.2500) and Ag at (0.1805, 0.3195, 0.0000).

- Which formula does entry 4 have?
  Tl5Ag3

- What is the calculated volume in the third record?
  926 Å³/cell

- Which of these has the highest calculated volume?
  Tl7Ag

- What is the formula in the first record?
  TlAg2